This record from the Alexandria database describes crystalline NdErZnRu at its relaxed geometry. The functional is PBE.

a = 4.0027 Å, b = 4.3019 Å, c = 5.7043 Å
α = 90.00°, β = 110.54°, γ = 90.00°
Fractional coordinates of all 4 atoms:
Nd: 0.8529 0.5000 0.7058
Er: 0.1365 0.0000 0.2730
Zn: 0.4336 0.0000 0.8673
Ru: 0.5770 0.5000 0.1539

Computed properties:
energy of formation from the pure elements: -27.2 kJ/mol of atoms
distance to the lowest polymorph of the same formula: 7.1 meV/atom
M_tot: 0.00 μB/atom